A relaxed Sr2LiSbN crystal, computed with GGA-PBE.

Properties
- space group = P4/mmm (123)
- energy relative to the elements, uncorrected (eV/f.u.) = -3.27

a b c (Å): 5.309 5.309 4.291
angles (deg): 90.00 90.00 90.00
Fractional coordinates of all 5 atoms:
Sb 0.500 0.500 0.500
Li 0.000 0.000 0.500
Sr 0.500 0.000 0.000
Sr 0.000 0.500 0.000
N 0.000 0.000 0.000

***

A relaxed TbTh4Bi5 crystal, computed with GGA-PBE.

Properties
- formation energy (eV per atom) = -0.621
- space group = Immm (71)

a b c (Å): 4.573 6.473 12.130
angles (deg): 105.48 100.87 90.00
Fractional coordinates of all 10 atoms:
Bi 0.597 0.097 0.193
Bi 0.403 0.903 0.807
Bi 0.799 0.299 0.599
Bi 0.201 0.701 0.401
Bi 0.000 0.500 0.000
Tb 0.000 0.000 0.000
Th 0.400 0.400 0.800
Th 0.600 0.600 0.200
Th 0.801 0.801 0.603
Th 0.199 0.199 0.397